# 1
Entry from Alexandria: a geometry-optimized AlPbAu structure (PBE-GGA).

a = 6.421 Å, b = 5.763 Å, c = 7.151 Å
α = 90.00°, β = 90.00°, γ = 90.00°
Sites, in units of the cell vectors:
Al: 0.000 0.000 0.000
Al: 0.000 0.500 0.000
Al: 0.500 0.000 0.500
Al: 0.500 0.500 0.500
Pb: 0.075 0.250 0.378
Pb: 0.425 0.750 0.878
Pb: 0.575 0.250 0.122
Pb: 0.925 0.750 0.622
Au: 0.235 0.750 0.291
Au: 0.265 0.250 0.791
Au: 0.735 0.750 0.209
Au: 0.765 0.250 0.709

Calculated values
DOS(E_F) in states/eV per cell: 4.11
DFT formation energy in eV per atom: -0.067
Calculated total energy in eV/atom: -3.64



# 2
Entry from Alexandria: a geometry-optimized AlPb2Au structure (PBE-GGA).

a = 5.930 Å, b = 5.930 Å, c = 5.930 Å
α = 136.04°, β = 136.04°, γ = 63.91°
Sites, in units of the cell vectors:
Al: 0.000 0.000 0.000
Pb: 0.500 0.500 0.000
Pb: 0.750 0.250 0.500
Au: 0.250 0.750 0.500

Calculated values
DOS(E_F) in states/eV per cell: 1.56
DFT formation energy in eV per atom: 0.142
Calculated total energy in eV/atom: -3.47



> What is the DFT formation energy in the first record?

-0.067 eV per atom